A plane-wave DFT calculation with PBE was carried out for Hf2NbV after structural relaxation.

POSCAR file:
```
Hf2NbV
1.0
3.395 0.000 0.000
0.000 3.395 0.000
0.000 0.000 6.662
Hf Nb V
2 1 1
Direct
0.000 0.000 0.240 Hf
0.000 0.000 0.760 Hf
0.500 0.500 0.500 Nb
0.500 0.500 0.000 V
```

Values from the calculation:
- calculated formation energy (eV/atom) = 0.1406
- space-group type = No. 123
- energy above the lowest structure with this stoichiometry (eV per atom) = 0.010